No. 1
Li2Cd2Ga3 | PBE | relaxed

Formation energy   -0.1388 eV per atom

Structure (POSCAR):
```
Li2Cd2Ga3
1.0
4.1750 0.0000 0.0000
2.0591 4.7942 0.0000
0.0335 1.2507 6.4373
Li Cd Ga
2 2 3
Cartesian
1.0480 0.5291 0.9429
5.2194 5.5159 5.4945
1.0593 2.6013 4.6782
5.2082 3.4436 1.7591
3.1349 4.6057 3.7323
3.1170 2.3971 0.0000
3.1326 1.4393 2.7050
```

=====

No. 2
Li2Cd2Ga | PBE | relaxed

Excess energy over the best structure of this formula in the dataset   0.012 eV/atom
Formation energy   -0.2060 eV per atom

Structure (POSCAR):
```
Li2Cd2Ga
1.0
4.4808 -2.1593 0.0000
4.4808 2.1593 0.0000
-0.5582 0.0000 9.5328
Li Cd Ga
4 4 2
Cartesian
0.4154 0.0000 1.4673
1.1468 0.0000 4.3021
7.2566 0.0000 5.2307
7.9880 0.0000 8.0655
3.1193 0.0000 0.4460
3.9655 0.0000 3.3203
4.4379 0.0000 6.2125
5.2841 0.0000 9.0868
1.6840 0.0000 7.0979
6.7194 0.0000 2.4349
```

=====

No. 3
Li2Cd3Ga4 | PBE | relaxed

Formation energy   -0.0777 eV per atom

Structure (POSCAR):
```
Li2Cd3Ga4
1.0
4.5874 0.0000 0.0000
-2.2784 4.2470 0.0000
-0.0050 -1.3099 9.0834
Li Cd Ga
2 3 4
Cartesian
-0.0019 1.6679 2.2314
2.3059 1.2692 6.8520
0.0100 -0.0438 8.3091
2.2912 -0.6549 4.5417
2.2939 2.9809 0.7743
0.0032 0.8256 5.3492
0.0271 2.7071 7.5158
2.2768 0.2300 1.5676
2.3007 2.1115 3.7341
```

=====

No. 4
Li3Cd3Ga | PBE | relaxed

Excess energy over the best structure of this formula in the dataset   0.028 eV/atom
Formation energy   -0.1854 eV per atom

Structure (POSCAR):
```
Li3Cd3Ga
1.0
10.6996 0.0000 0.0000
0.0000 4.7083 0.0000
0.0000 0.0000 10.8446
Li Cd Ga
12 12 4
Cartesian
0.0441 1.1771 1.9416
1.9245 1.1771 7.2943
2.4295 1.1771 3.5466
2.9203 3.5312 8.9689
3.4254 3.5312 1.8720
5.3057 3.5312 7.3639
5.3939 1.1771 3.4807
7.2743 1.1771 8.9726
7.7793 1.1771 1.8757
8.2702 3.5312 7.2980
8.7752 3.5312 3.5503
10.6555 3.5312 8.9029
0.4141 3.5312 6.2768
0.8403 3.5312 0.6617
2.1817 1.1771 10.4727
3.1681 3.5312 5.0504
4.5096 1.1771 6.0840
4.9357 1.1771 0.8545
5.7639 3.5312 9.9901
6.1901 3.5312 4.7606
7.5315 1.1771 5.7942
8.5179 3.5312 0.3719
9.8594 1.1771 10.1828
10.2855 1.1771 4.5678
0.8953 3.5312 3.4194
4.4545 1.1771 8.8416
6.2451 3.5312 2.0029
9.8043 1.1771 7.4252
```

=====

No. 5
Li8CdGa2 | PBE | relaxed

Excess energy over the best structure of this formula in the dataset   0.085 eV/atom
Formation energy   -0.1323 eV per atom

Structure (POSCAR):
```
Li8CdGa2
1.0
3.6903 -6.8455 0.0000
3.6903 6.8455 0.0000
-2.9273 0.0000 3.6985
Li Cd Ga
8 1 2
Cartesian
-0.3811 1.8422 2.6210
3.6903 4.0195 0.0000
-0.3811 -1.8422 2.6210
2.6565 0.0000 0.8089
1.7967 0.0000 2.8896
4.8344 1.8422 1.0775
3.6903 -4.0195 0.0000
4.8344 -1.8422 1.0775
0.0000 0.0000 0.0000
2.2266 2.5187 1.8493
2.2266 -2.5187 1.8493
```

=====

No. 6
Li2Cd3Ga9 | PBE | relaxed

Formation energy   -0.0586 eV per atom

Structure (POSCAR):
```
Li2Cd3Ga9
1.0
-2.2357 4.5334 6.8131
2.2357 -4.5334 6.8131
2.2357 4.5334 -6.8131
Li Cd Ga
2 3 9
Cartesian
0.0000 2.0978 0.0000
0.0000 6.9690 0.0000
0.0000 0.0000 2.2683
0.0000 0.0000 6.8131
0.0000 0.0000 11.3578
2.2357 0.0000 0.0000
2.2357 2.1475 -1.6430
2.2357 -1.3078 4.2176
2.2357 2.1475 1.6430
2.2357 1.3078 4.2176
0.0000 3.2256 2.5955
0.0000 2.3859 5.1701
0.0000 5.8412 2.5955
0.0000 2.3859 8.4560
```

=====

No. 7
Li5Cd8Ga | PBE | relaxed

Formation energy   -0.1058 eV per atom

Structure (POSCAR):
```
Li5Cd8Ga
1.0
-4.0081 4.0081 4.4788
4.0081 -4.0081 4.4788
4.0081 4.0081 -4.4788
Li Cd Ga
5 8 1
Cartesian
0.0000 0.0000 0.0000
2.3582 3.0539 -0.7115
4.9623 2.3582 0.7115
1.6500 0.9542 3.7674
-0.9542 1.6500 5.1903
5.3846 -0.5740 0.7596
4.8099 2.6500 -2.2184
2.6316 0.5740 0.7596
3.4341 -1.3765 3.7192
-0.8018 1.3581 2.2604
4.5821 1.3765 3.7192
2.6500 3.2063 2.2184
1.3581 0.8018 6.6973
0.0000 4.0081 2.2394
```

=====

No. 8
Li4CdGa5 | PBE | relaxed

Formation energy   -0.2153 eV per atom

Structure (POSCAR):
```
Li4CdGa5
1.0
4.3955 0.0000 0.0000
0.0140 5.8058 0.0000
2.1877 0.3624 6.7351
Li Cd Ga
4 1 5
Cartesian
1.1008 1.8605 1.9340
3.2858 0.9846 6.1008
3.3113 5.1836 0.6342
5.4963 4.3077 4.8011
3.2986 3.0841 3.3675
1.1099 4.8412 2.1635
3.2950 3.9369 6.4450
3.2916 0.1812 3.3675
3.3022 2.2313 0.2901
5.4873 1.3270 4.5716
```

=====

- Which of these has the highest formation energy?
  Li2Cd3Ga9

=====

- formation energy of number 3 (Li2Cd3Ga4)?
  -0.0777 eV per atom

=====

- Among the records above, which one has the highest formation energy?
  Li2Cd3Ga9

=====

- Which value of formation energy does entry 2 give?
  -0.2060 eV per atom